3
Lattice="4.152 0.000 0.000 0.000 5.131 0.000 0.000 -2.566 4.444" Properties=species:S:1:pos:R:3 comment="LaTmSb PBE optimized geometry" magnetic_moment_mub_per_cell=0.00 vol_a3_per_cell=94.7 e_form_raw_ev_per_atom=-0.513 pbc="T T T"
Tm 0.582 0.000 0.000
Sb 0.861 0.000 2.962
La 2.709 2.566 1.481

=====

6
Lattice="-2.144 1.882 -3.574 -4.008 -0.488 2.147 0.969 7.981 3.622" Properties=species:S:1:pos:R:3 comment="LaTmSb PBE optimized geometry" magnetic_moment_mub_per_cell=0.00 vol_a3_per_cell=184.4 e_form_raw_ev_per_atom=-0.851 pbc="T T T"
La -0.909 5.526 1.993
Sb -1.282 2.460 0.601
Sb -3.901 6.916 1.594
Tm -2.610 1.290 -2.144
La -4.274 3.850 0.202
Tm -3.542 0.105 0.717

=====

4
Lattice="5.381 0.000 0.000 2.690 4.660 0.000 2.690 1.553 4.392" Properties=species:S:1:pos:R:3 comment="LaTm2Sb PBE optimized geometry" magnetic_moment_mub_per_cell=0.54 vol_a3_per_cell=110.1 polymorph_energy_ev_per_atom=0.2612 e_form_raw_ev_per_atom=-0.219 pbc="T T T"
Sb 5.381 3.107 2.196
Tm 8.071 4.660 3.295
Tm 2.690 1.553 1.097
La 0.000 0.000 0.000

=====

12
Lattice="7.502 0.000 0.000 0.000 7.502 0.000 0.000 0.000 7.502" Properties=species:S:1:pos:R:3 comment="LaTmSb PBE optimized geometry" magnetic_moment_mub_per_cell=2.80 vol_a3_per_cell=422.2 e_form_raw_ev_per_atom=-0.481 pbc="T T T"
Tm 4.509 2.993 6.744
Tm 2.993 6.744 4.509
Sb 5.795 2.044 1.707
La 0.665 4.416 6.837
La 4.416 6.837 0.665
La 3.086 3.086 3.086
Tm 0.758 0.758 0.758
Tm 6.744 4.509 2.993
Sb 2.044 1.707 5.795
La 6.837 0.665 4.416
Sb 1.707 5.795 2.044
Sb 5.458 5.458 5.458

=====

6
Lattice="4.269 0.000 -1.210 -0.659 5.814 -2.327 -0.134 -0.357 7.666" Properties=species:S:1:pos:R:3 comment="LaTm2Sb3 PBE optimized geometry" magnetic_moment_mub_per_cell=0.00 vol_a3_per_cell=185.5 e_form_raw_ev_per_atom=-1.117 pbc="T T T"
Tm 0.793 4.620 2.799
Sb 2.393 3.804 0.306
Sb 1.083 1.653 3.824
La -0.330 2.907 -1.163
Sb 0.000 0.000 0.000
Tm 2.683 0.837 1.331

=====

3
Lattice="-0.388 -4.002 -0.193 3.446 -0.432 2.034 -4.378 2.259 3.916" Properties=species:S:1:pos:R:3 comment="LaTmSb PBE optimized geometry" magnetic_moment_mub_per_cell=0.92 vol_a3_per_cell=90.9 e_form_raw_ev_per_atom=-0.641 pbc="T T T"
Tm 0.712 -2.205 2.308
Sb -1.520 0.023 2.581
La -0.975 -2.180 5.172